(1)
# Ti2Ga2Bi

Ti2Ga2Bi after structural relaxation (PBE-GGA, Alexandria via LeMat-Bulk).

V	19.569	Å³ per atom
magnetization	0.0	μB/cell
energy above the most stable polymorph in this dataset	0	meV per atom
symmetry	P4/mbm (127)

Cell: 7.107 7.107 3.875 Å, 90.00 90.00 90.00°
Fractional positions:
Bi  0.500  0.500  0.000
Bi  0.000  0.000  0.000
Ga  0.850  0.350  0.500
Ga  0.650  0.850  0.500
Ga  0.150  0.650  0.500
Ga  0.350  0.150  0.500
Ti  0.144  0.356  0.000
Ti  0.356  0.856  0.000
Ti  0.644  0.144  0.000
Ti  0.856  0.644  0.000

***

(2)
# Ti4GaBi

Ti4GaBi after structural relaxation (PBE-GGA, Alexandria via LeMat-Bulk).

V	19.545	Å³ per atom
magnetization	1.9	μB/cell
symmetry	C2/c (15)

Cell: 5.217 6.597 7.403 Å, 99.70 110.63 90.00°
Fractional positions:
Ti  0.683  0.425  0.148
Ti  0.335  0.618  0.344
Ti  0.009  0.118  0.344
Ti  0.535  0.075  0.852
Ti  0.665  0.382  0.656
Ti  0.991  0.882  0.656
Ti  0.317  0.575  0.852
Ti  0.465  0.925  0.148
Ga  0.000  0.500  0.500
Ga  0.500  0.000  0.500
Bi  0.885  0.750  0.000
Bi  0.115  0.250  0.000

***

(3)
# TiGaBi

TiGaBi after structural relaxation (PBE-GGA, Alexandria via LeMat-Bulk).

V	21.865	Å³ per atom
magnetization	0.0	μB/cell
symmetry	P4/nmm (129)

Cell: 3.677 3.677 9.703 Å, 90.01 90.01 90.01°
Fractional positions:
Ti  0.250  0.250  0.920
Ti  0.750  0.750  0.080
Bi  0.250  0.250  0.221
Bi  0.750  0.750  0.779
Ga  0.250  0.250  0.564
Ga  0.750  0.750  0.436

***

(4)
# Ti12Ga3Bi

Ti12Ga3Bi after structural relaxation (PBE-GGA, Alexandria via LeMat-Bulk).

V	16.925	Å³ per atom
magnetization	0.0	μB/cell
symmetry	Pmmm (47)

Cell: 5.125 5.134 10.292 Å, 90.00 90.00 90.00°
Fractional positions:
Ga  0.000  0.000  0.000
Ga  0.500  0.500  0.251
Ga  0.500  0.500  0.749
Ti  0.500  0.000  0.880
Ti  0.500  0.000  0.634
Ti  0.261  0.500  0.500
Ti  0.000  0.747  0.241
Ti  0.000  0.747  0.759
Ti  0.739  0.500  0.500
Ti  0.500  0.000  0.366
Ti  0.751  0.500  0.000
Ti  0.249  0.500  0.000
Ti  0.500  0.000  0.120
Ti  0.000  0.253  0.241
Ti  0.000  0.253  0.759
Bi  0.000  0.000  0.500

***

(5)
# Y2TiGaBi

Y2TiGaBi after structural relaxation (PBE-GGA, Alexandria via LeMat-Bulk).

V	28.331	Å³ per atom
magnetization	0.0	μB/cell
symmetry	P4/mmm (123)

Cell: 5.320 5.005 5.320 Å, 90.00 90.00 90.00°
Fractional positions:
Y  0.500  0.000  0.000
Y  0.000  0.000  0.500
Bi  0.500  0.500  0.500
Ga  0.000  0.500  0.000
Ti  0.000  0.000  0.000

***

(6)
# TlGa2Bi

TlGa2Bi after structural relaxation (PBE-GGA, Alexandria via LeMat-Bulk).

V	25.941	Å³ per atom
magnetization	0.0	μB/cell
energy above the most stable polymorph in this dataset	34	meV per atom
symmetry	Fm-3m (225)

Cell: 5.275 5.275 5.275 Å, 60.00 60.00 60.00°
Fractional positions:
Ga  0.750  0.750  0.750
Ga  0.250  0.250  0.250
Tl  0.000  0.000  0.000
Bi  0.500  0.500  0.500

***

(7)
# Tl3GaBi2

Tl3GaBi2 after structural relaxation (PBE-GGA, Alexandria via LeMat-Bulk).

V	33.572	Å³ per atom
magnetization	0.0	μB/cell
symmetry	Ibam (72)

Cell: 7.541 7.167 9.089 Å, 113.22 114.51 90.00°
Fractional positions:
Bi  0.318  0.115  0.231
Bi  0.088  0.385  0.769
Bi  0.912  0.615  0.231
Bi  0.682  0.885  0.769
Tl  0.500  0.250  0.000
Tl  0.094  0.838  0.676
Tl  0.419  0.662  0.324
Tl  0.906  0.162  0.324
Tl  0.500  0.750  0.000
Tl  0.581  0.338  0.676
Ga  0.000  0.750  0.000
Ga  0.000  0.250  0.000

***

(8)
# TlGaBi2

TlGaBi2 after structural relaxation (PBE-GGA, Alexandria via LeMat-Bulk).

V	28.974	Å³ per atom
magnetization	0.0	μB/cell
energy above the most stable polymorph in this dataset	62	meV per atom
symmetry	Fm-3m (225)

Cell: 5.473 5.473 5.473 Å, 60.00 60.00 60.00°
Fractional positions:
Bi  0.750  0.750  0.750
Bi  0.250  0.250  0.250
Ga  0.000  0.000  0.000
Tl  0.500  0.500  0.500

***

(9)
# TlGa2Bi2

TlGa2Bi2 after structural relaxation (PBE-GGA, Alexandria via LeMat-Bulk).

V	27.414	Å³ per atom
magnetization	0.0	μB/cell
energy above the most stable polymorph in this dataset	8	meV per atom
symmetry	C2/m (12)

Cell: 3.392 3.392 13.276 Å, 111.70 79.86 104.01°
Fractional positions:
Ga  0.757  0.317  0.575
Ga  0.243  0.683  0.425
Bi  0.160  0.102  0.761
Bi  0.840  0.898  0.239
Tl  0.500  0.000  0.000

***

(10)
# TlGa2Bi

TlGa2Bi after structural relaxation (PBE-GGA, Alexandria via LeMat-Bulk).

V	26.070	Å³ per atom
magnetization	0.0	μB/cell
energy above the most stable polymorph in this dataset	43	meV per atom
symmetry	P4/mmm (123)

Cell: 4.425 4.854 4.854 Å, 90.00 90.00 90.00°
Fractional positions:
Ga  0.000  0.500  0.000
Ga  0.000  0.000  0.500
Bi  0.500  0.500  0.500
Tl  0.500  0.000  0.000

***

(11)
# TlGaBi

TlGaBi after structural relaxation (PBE-GGA, Alexandria via LeMat-Bulk).

V	28.538	Å³ per atom
magnetization	0.0	μB/cell
energy above the most stable polymorph in this dataset	35	meV per atom
symmetry	I4mm (107)

Cell: 3.483 3.483 7.474 Å, 103.48 103.48 90.00°
Fractional positions:
Ga  0.328  0.328  0.656
Tl  0.992  0.992  0.985
Bi  0.680  0.680  0.360

***

(12)
# TlGa2Bi

TlGa2Bi after structural relaxation (PBE-GGA, Alexandria via LeMat-Bulk).

V	28.710	Å³ per atom
magnetization	0.0	μB/cell
energy above the most stable polymorph in this dataset	67	meV per atom
symmetry	R3m (160)

Cell: 4.579 4.579 6.854 Å, 70.48 70.48 60.00°
Fractional positions:
Bi  0.673  0.673  0.982
Ga  0.079  0.079  0.764
Ga  0.255  0.255  0.236
Tl  0.494  0.494  0.518

***

(13)
# Tl6GaBi2

Tl6GaBi2 after structural relaxation (PBE-GGA, Alexandria via LeMat-Bulk).

V	30.775	Å³ per atom
magnetization	0.0	μB/cell
symmetry	C2/m (12)

Cell: 5.491 6.325 9.060 Å, 111.42 107.64 90.00°
Fractional positions:
Ga  0.500  0.500  0.000
Tl  0.721  0.836  0.441
Tl  0.393  0.831  0.786
Tl  0.831  0.498  0.663
Tl  0.279  0.164  0.559
Tl  0.607  0.169  0.214
Tl  0.169  0.502  0.337
Bi  0.045  0.810  0.090
Bi  0.955  0.190  0.910

***

| no. | electronic total energy (eV/atom) |
| --- | --- |
| 1 | -5.27 |
| 2 | -6.36 |
| 3 | -5.00 |
| 4 | -6.98 |
| 5 | -5.27 |
| 6 | -3.00 |
| 7 | -2.96 |
| 8 | -3.16 |
| 9 | -3.19 |
| 10 | -2.99 |
| 11 | -3.05 |
| 12 | -2.97 |
| 13 | -2.74 |